Entry 1:
# Nd5ErGa6, relaxed, DFT GGA-PBE
data_Nd5ErGa6
_space_group_name_H-M_alt 'P 1'
_space_group_IT_number 1
_space_group_name_Hall 'P 1'
_cell_length_a 5.193
_cell_length_b 8.980
_cell_length_c 8.998
_cell_angle_alpha 60.07
_cell_angle_beta 73.20
_cell_angle_gamma 54.59
loop_
_atom_site_label
_atom_site_fract_x
_atom_site_fract_y
_atom_site_fract_z
_atom_site_occupancy
Ga1 0.759 0.403 0.675 1
Ga2 0.241 0.597 0.325 1
Er1 0.000 0.000 0.000 1
Ga3 0.241 0.922 0.675 1
Nd1 0.500 0.173 0.654 1
Nd2 0.500 0.500 0.000 1
Ga4 0.268 0.233 0.000 1
Ga5 0.759 0.078 0.325 1
Ga6 0.732 0.767 0.000 1
Nd3 0.000 0.663 0.673 1
Nd4 0.000 0.337 0.327 1
Nd5 0.500 0.827 0.346 1
# Calculated formation energy in meV/atom: -556
# Total magnetization in μB/f.u.: 0.0
# Space-group type: C2/m, No. 12

Entry 2:
# Nd3Er4Ga4, relaxed, DFT GGA-PBE
data_Nd3Er4Ga4
_space_group_name_H-M_alt 'P 1'
_space_group_IT_number 1
_space_group_name_Hall 'P 1'
_cell_length_a 4.863
_cell_length_b 7.526
_cell_length_c 9.255
_cell_angle_alpha 113.99
_cell_angle_beta 105.23
_cell_angle_gamma 90.00
loop_
_atom_site_label
_atom_site_fract_x
_atom_site_fract_y
_atom_site_fract_z
_atom_site_occupancy
Ga1 0.199 0.699 0.397 1
Ga2 0.801 0.301 0.603 1
Er1 0.674 0.888 0.347 1
Nd1 0.892 0.892 0.785 1
Er2 0.326 0.112 0.653 1
Nd2 0.000 0.500 0.000 1
Ga3 0.500 0.181 0.000 1
Er3 0.674 0.459 0.347 1
Nd3 0.108 0.108 0.215 1
Er4 0.326 0.541 0.653 1
Ga4 0.500 0.819 0.000 1
# Calculated formation energy in meV/atom: -387
# Total magnetization in μB/f.u.: 0.0
# Space-group type: Immm, No. 71

Entry 3:
# Nd5ErGa4, relaxed, DFT GGA-PBE
data_Nd5ErGa4
_space_group_name_H-M_alt 'P 1'
_space_group_IT_number 1
_space_group_name_Hall 'P 1'
_cell_length_a 3.785
_cell_length_b 8.959
_cell_length_c 8.973
_cell_angle_alpha 93.53
_cell_angle_beta 102.18
_cell_angle_gamma 90.00
loop_
_atom_site_label
_atom_site_fract_x
_atom_site_fract_y
_atom_site_fract_z
_atom_site_occupancy
Ga1 0.023 0.244 0.047 1
Er1 0.500 0.000 0.000 1
Ga2 0.679 0.074 0.357 1
Nd1 0.152 0.801 0.303 1
Ga3 0.321 0.926 0.643 1
Nd2 0.500 0.500 0.000 1
Ga4 0.977 0.756 0.953 1
Nd3 0.814 0.644 0.629 1
Nd4 0.848 0.199 0.697 1
Nd5 0.186 0.356 0.371 1
# Calculated formation energy in meV/atom: -264
# Total magnetization in μB/f.u.: 0.0
# Space-group type: C2/m, No. 12

Entry 4:
# NdEr2Ga6, relaxed, DFT GGA-PBE
data_NdEr2Ga6
_space_group_name_H-M_alt 'P 1'
_space_group_IT_number 1
_space_group_name_Hall 'P 1'
_cell_length_a 4.326
_cell_length_b 7.086
_cell_length_c 7.778
_cell_angle_alpha 117.10
_cell_angle_beta 106.15
_cell_angle_gamma 90.00
loop_
_atom_site_label
_atom_site_fract_x
_atom_site_fract_y
_atom_site_fract_z
_atom_site_occupancy
Ga1 0.686 0.490 0.371 1
Er1 0.874 0.874 0.748 1
Ga2 0.500 0.183 0.000 1
Ga3 0.500 0.817 0.000 1
Nd1 0.000 0.500 0.000 1
Ga4 0.686 0.881 0.371 1
Ga5 0.314 0.510 0.629 1
Er2 0.126 0.126 0.252 1
Ga6 0.314 0.119 0.629 1
# Calculated formation energy in meV/atom: -486
# Total magnetization in μB/f.u.: 0.0
# Space-group type: Immm, No. 71

Entry 5:
# Nd3ErGa4, relaxed, DFT GGA-PBE
data_Nd3ErGa4
_space_group_name_H-M_alt 'P 1'
_space_group_IT_number 1
_space_group_name_Hall 'P 1'
_cell_length_a 3.764
_cell_length_b 6.817
_cell_length_c 9.315
_cell_angle_alpha 111.44
_cell_angle_beta 101.66
_cell_angle_gamma 90.00
loop_
_atom_site_label
_atom_site_fract_x
_atom_site_fract_y
_atom_site_fract_z
_atom_site_occupancy
Nd1 0.000 0.500 0.000 1
Ga1 0.627 0.433 0.255 1
Er1 0.500 0.000 0.000 1
Ga2 0.373 0.567 0.745 1
Nd2 0.798 0.798 0.596 1
Ga3 0.373 0.179 0.746 1
Ga4 0.627 0.821 0.254 1
Nd3 0.202 0.202 0.404 1
# Calculated formation energy in meV/atom: -433
# Total magnetization in μB/f.u.: 0.0
# Space-group type: Immm, No. 71

Entry 6:
# NdEr3Ga2, relaxed, DFT GGA-PBE
data_NdEr3Ga2
_space_group_name_H-M_alt 'P 1'
_space_group_IT_number 1
_space_group_name_Hall 'P 1'
_cell_length_a 5.102
_cell_length_b 9.131
_cell_length_c 8.822
_cell_angle_alpha 124.35
_cell_angle_beta 90.00
_cell_angle_gamma 106.22
loop_
_atom_site_label
_atom_site_fract_x
_atom_site_fract_y
_atom_site_fract_z
_atom_site_occupancy
Nd1 0.131 0.261 0.073 1
Er1 0.688 0.376 0.387 1
Ga1 0.512 0.024 0.874 1
Er2 0.937 0.873 0.590 1
Ga2 0.225 0.449 0.835 1
Ga3 0.488 0.976 0.126 1
Er3 0.063 0.127 0.410 1
Ga4 0.775 0.551 0.165 1
Er4 0.620 0.241 0.731 1
Er5 0.312 0.624 0.613 1
Er6 0.380 0.759 0.269 1
Nd2 0.869 0.739 0.927 1
# Calculated formation energy in meV/atom: -334
# Total magnetization in μB/f.u.: 0.0
# Space-group type: C2/m, No. 12

Entry 7:
# NdErGa2, relaxed, DFT GGA-PBE
data_NdErGa2
_space_group_name_H-M_alt 'P 1'
_space_group_IT_number 1
_space_group_name_Hall 'P 1'
_cell_length_a 4.406
_cell_length_b 4.100
_cell_length_c 5.957
_cell_angle_alpha 90.00
_cell_angle_beta 111.66
_cell_angle_gamma 90.00
loop_
_atom_site_label
_atom_site_fract_x
_atom_site_fract_y
_atom_site_fract_z
_atom_site_occupancy
Er1 0.719 0.000 0.977 1
Ga1 0.159 0.500 0.859 1
Ga2 0.011 0.000 0.560 1
Nd1 0.442 0.500 0.421 1
# Calculated formation energy in meV/atom: -601
# Total magnetization in μB/f.u.: 0.0
# Space-group type: Pm, No. 6

Entry 8:
# Nd5ErGa6, relaxed, DFT GGA-PBE
data_Nd5ErGa6
_space_group_name_H-M_alt 'P 1'
_space_group_IT_number 1
_space_group_name_Hall 'P 1'
_cell_length_a 5.189
_cell_length_b 7.335
_cell_length_c 8.216
_cell_angle_alpha 90.00
_cell_angle_beta 71.59
_cell_angle_gamma 90.00
loop_
_atom_site_label
_atom_site_fract_x
_atom_site_fract_y
_atom_site_fract_z
_atom_site_occupancy
Nd1 0.330 0.500 0.340 1
Ga1 0.837 0.757 0.326 1
Er1 0.000 0.000 0.000 1
Nd2 0.000 0.500 0.000 1
Ga2 0.163 0.757 0.674 1
Nd3 0.670 0.500 0.660 1
Nd4 0.334 0.000 0.331 1
Ga3 0.837 0.243 0.326 1
Ga4 0.500 0.755 0.000 1
Nd5 0.666 0.000 0.669 1
Ga5 0.500 0.245 0.000 1
Ga6 0.163 0.243 0.674 1
# Calculated formation energy in meV/atom: -557
# Total magnetization in μB/f.u.: 0.0
# Space-group type: Cmmm, No. 65

Entry 9:
# NdEr3Ga, relaxed, DFT GGA-PBE
data_NdEr3Ga
_space_group_name_H-M_alt 'P 1'
_space_group_IT_number 1
_space_group_name_Hall 'P 1'
_cell_length_a 7.551
_cell_length_b 7.551
_cell_length_c 7.348
_cell_angle_alpha 102.25
_cell_angle_beta 118.00
_cell_angle_gamma 109.68
loop_
_atom_site_label
_atom_site_fract_x
_atom_site_fract_y
_atom_site_fract_z
_atom_site_occupancy
Nd1 0.733 0.052 0.785 1
Er1 0.694 0.427 0.122 1
Ga1 0.644 0.733 0.377 1
Er2 0.159 0.894 0.663 1
Er3 0.841 0.106 0.337 1
Er4 0.231 0.496 0.337 1
Er5 0.306 0.573 0.878 1
Er6 0.769 0.504 0.663 1
Ga2 0.356 0.267 0.623 1
Nd2 0.267 0.948 0.215 1
# Calculated formation energy in meV/atom: -76
# Total magnetization in μB/f.u.: 0.0
# Space-group type: C2/m, No. 12

Entry 10:
# Nd2ErGa6, relaxed, DFT GGA-PBE
data_Nd2ErGa6
_space_group_name_H-M_alt 'P 1'
_space_group_IT_number 1
_space_group_name_Hall 'P 1'
_cell_length_a 4.376
_cell_length_b 7.085
_cell_length_c 8.000
_cell_angle_alpha 116.28
_cell_angle_beta 105.87
_cell_angle_gamma 90.00
loop_
_atom_site_label
_atom_site_fract_x
_atom_site_fract_y
_atom_site_fract_z
_atom_site_occupancy
Er1 0.000 0.500 0.000 1
Ga1 0.500 0.806 0.000 1
Nd1 0.129 0.129 0.259 1
Ga2 0.500 0.194 0.000 1
Ga3 0.322 0.509 0.645 1
Ga4 0.322 0.136 0.645 1
Nd2 0.871 0.871 0.741 1
Ga5 0.678 0.864 0.355 1
Ga6 0.678 0.491 0.355 1
# Calculated formation energy in meV/atom: -417
# Total magnetization in μB/f.u.: 0.0
# Space-group type: Immm, No. 71

Entry 11:
# NdEr6Ga3, relaxed, DFT GGA-PBE
data_NdEr6Ga3
_space_group_name_H-M_alt 'P 1'
_space_group_IT_number 1
_space_group_name_Hall 'P 1'
_cell_length_a 8.247
_cell_length_b 8.256
_cell_length_c 8.256
_cell_angle_alpha 100.30
_cell_angle_beta 90.00
_cell_angle_gamma 90.00
loop_
_atom_site_label
_atom_site_fract_x
_atom_site_fract_y
_atom_site_fract_z
_atom_site_occupancy
Ga1 0.366 0.429 0.571 1
Er1 0.689 0.967 0.033 1
Er2 0.308 0.057 0.408 1
Ga2 0.969 0.720 0.878 1
Er3 0.189 0.033 0.967 1
Er4 0.808 0.943 0.592 1
Ga3 0.469 0.280 0.122 1
Er5 0.167 0.734 0.598 1
Er6 0.167 0.402 0.266 1
Er7 0.667 0.598 0.734 1
Ga4 0.866 0.571 0.429 1
Er8 0.308 0.592 0.943 1
Er9 0.667 0.266 0.402 1
Er10 0.808 0.408 0.057 1
Ga5 0.469 0.878 0.720 1
Er11 0.012 0.777 0.223 1
Er12 0.512 0.223 0.777 1
Nd1 0.031 0.327 0.673 1
Ga6 0.969 0.122 0.280 1
Nd2 0.531 0.673 0.327 1
# Calculated formation energy in meV/atom: -310
# Total magnetization in μB/f.u.: 0.0
# Space-group type: Cmc2_1, No. 36

Entry 12:
# NdErGa4, relaxed, DFT GGA-PBE
data_NdErGa4
_space_group_name_H-M_alt 'P 1'
_space_group_IT_number 1
_space_group_name_Hall 'P 1'
_cell_length_a 4.237
_cell_length_b 4.237
_cell_length_c 8.362
_cell_angle_alpha 90.00
_cell_angle_beta 90.00
_cell_angle_gamma 120.00
loop_
_atom_site_label
_atom_site_fract_x
_atom_site_fract_y
_atom_site_fract_z
_atom_site_occupancy
Ga1 0.333 0.667 0.759 1
Ga2 0.667 0.333 0.241 1
Er1 0.000 0.000 0.000 1
Ga3 0.333 0.667 0.241 1
Ga4 0.667 0.333 0.759 1
Nd1 0.000 0.000 0.500 1
# Calculated formation energy in meV/atom: -651
# Total magnetization in μB/f.u.: 0.0
# Space-group type: P6/mmm, No. 191

Entry 13:
# NdEr2Ga6, relaxed, DFT GGA-PBE
data_NdEr2Ga6
_space_group_name_H-M_alt 'P 1'
_space_group_IT_number 1
_space_group_name_Hall 'P 1'
_cell_length_a 4.155
_cell_length_b 7.310
_cell_length_c 7.310
_cell_angle_alpha 120.00
_cell_angle_beta 90.00
_cell_angle_gamma 90.00
loop_
_atom_site_label
_atom_site_fract_x
_atom_site_fract_y
_atom_site_fract_z
_atom_site_occupancy
Ga1 0.500 0.000 0.335 1
Ga2 0.500 0.665 0.000 1
Ga3 0.500 0.000 0.665 1
Ga4 0.500 0.335 0.000 1
Er1 0.000 0.333 0.667 1
Ga5 0.500 0.665 0.665 1
Ga6 0.500 0.335 0.335 1
Nd1 0.000 0.000 0.000 1
Er2 0.000 0.667 0.333 1
# Calculated formation energy in meV/atom: -626
# Total magnetization in μB/f.u.: 0.0
# Space-group type: P6/mmm, No. 191

Entry 14:
# Nd2ErGa6, relaxed, DFT GGA-PBE
data_Nd2ErGa6
_space_group_name_H-M_alt 'P 1'
_space_group_IT_number 1
_space_group_name_Hall 'P 1'
_cell_length_a 4.234
_cell_length_b 7.360
_cell_length_c 7.360
_cell_angle_alpha 120.00
_cell_angle_beta 90.00
_cell_angle_gamma 90.00
loop_
_atom_site_label
_atom_site_fract_x
_atom_site_fract_y
_atom_site_fract_z
_atom_site_occupancy
Ga1 0.500 0.000 0.668 1
Ga2 0.500 0.668 0.000 1
Er1 0.000 0.000 0.000 1
Ga3 0.500 0.668 0.668 1
Nd1 0.000 0.667 0.333 1
Ga4 0.500 0.332 0.000 1
Ga5 0.500 0.000 0.332 1
Ga6 0.500 0.332 0.332 1
Nd2 0.000 0.333 0.667 1
# Calculated formation energy in meV/atom: -655
# Total magnetization in μB/f.u.: 0.0
# Space-group type: P6/mmm, No. 191

Entry 15:
# NdEr5Ga4, relaxed, DFT GGA-PBE
data_NdEr5Ga4
_space_group_name_H-M_alt 'P 1'
_space_group_IT_number 1
_space_group_name_Hall 'P 1'
_cell_length_a 3.681
_cell_length_b 8.719
_cell_length_c 8.829
_cell_angle_alpha 97.47
_cell_angle_beta 102.03
_cell_angle_gamma 90.00
loop_
_atom_site_label
_atom_site_fract_x
_atom_site_fract_y
_atom_site_fract_z
_atom_site_occupancy
Er1 0.500 0.500 0.000 1
Nd1 0.500 0.000 0.000 1
Ga1 0.689 0.052 0.377 1
Er2 0.851 0.230 0.701 1
Er3 0.149 0.770 0.299 1
Ga2 0.311 0.948 0.623 1
Er4 0.189 0.340 0.379 1
Er5 0.811 0.660 0.621 1
Ga3 0.976 0.734 0.951 1
Ga4 0.024 0.266 0.049 1
# Calculated formation energy in meV/atom: -268
# Total magnetization in μB/f.u.: 0.0
# Space-group type: C2/m, No. 12

Entry 16:
# NdEr3Ga4, relaxed, DFT GGA-PBE
data_NdEr3Ga4
_space_group_name_H-M_alt 'P 1'
_space_group_IT_number 1
_space_group_name_Hall 'P 1'
_cell_length_a 3.496
_cell_length_b 6.765
_cell_length_c 9.245
_cell_angle_alpha 111.45
_cell_angle_beta 100.90
_cell_angle_gamma 90.00
loop_
_atom_site_label
_atom_site_fract_x
_atom_site_fract_y
_atom_site_fract_z
_atom_site_occupancy
Ga1 0.632 0.822 0.263 1
Er1 0.795 0.795 0.590 1
Ga2 0.368 0.178 0.737 1
Ga3 0.632 0.441 0.263 1
Er2 0.000 0.500 0.000 1
Er3 0.205 0.205 0.410 1
Ga4 0.368 0.559 0.737 1
Nd1 0.500 0.000 0.000 1
# Calculated formation energy in meV/atom: -443
# Total magnetization in μB/f.u.: 0.0
# Space-group type: Immm, No. 71

Entry 17:
# NdErGa2, relaxed, DFT GGA-PBE
data_NdErGa2
_space_group_name_H-M_alt 'P 1'
_space_group_IT_number 1
_space_group_name_Hall 'P 1'
_cell_length_a 3.621
_cell_length_b 3.621
_cell_length_c 7.212
_cell_angle_alpha 90.00
_cell_angle_beta 90.00
_cell_angle_gamma 90.00
loop_
_atom_site_label
_atom_site_fract_x
_atom_site_fract_y
_atom_site_fract_z
_atom_site_occupancy
Er1 0.500 0.500 0.000 1
Nd1 0.500 0.500 0.500 1
Ga1 0.000 0.000 0.768 1
Ga2 0.000 0.000 0.232 1
# Calculated formation energy in meV/atom: -575
# Total magnetization in μB/f.u.: 0.0
# Space-group type: P4/mmm, No. 123

Entry 18:
# Nd2ErGa3, relaxed, DFT GGA-PBE
data_Nd2ErGa3
_space_group_name_H-M_alt 'P 1'
_space_group_IT_number 1
_space_group_name_Hall 'P 1'
_cell_length_a 5.147
_cell_length_b 5.147
_cell_length_c 12.678
_cell_angle_alpha 90.00
_cell_angle_beta 90.00
_cell_angle_gamma 120.00
loop_
_atom_site_label
_atom_site_fract_x
_atom_site_fract_y
_atom_site_fract_z
_atom_site_occupancy
Nd1 0.000 0.000 0.000 1
Er1 0.667 0.333 0.334 1
Nd2 0.667 0.333 0.828 1
Ga1 0.667 0.333 0.086 1
Ga2 0.333 0.667 0.914 1
Nd3 0.000 0.000 0.500 1
Ga3 0.667 0.333 0.581 1
Ga4 0.000 0.000 0.254 1
Nd4 0.333 0.667 0.172 1
Er2 0.333 0.667 0.666 1
Ga5 0.333 0.667 0.419 1
Ga6 0.000 0.000 0.746 1
# Calculated formation energy in meV/atom: -556
# Total magnetization in μB/f.u.: 0.0
# Space-group type: P-3m1, No. 164

Entry 19:
# Nd12ErGa6, relaxed, DFT GGA-PBE
data_Nd12ErGa6
_space_group_name_H-M_alt 'P 1'
_space_group_IT_number 1
_space_group_name_Hall 'P 1'
_cell_length_a 9.090
_cell_length_b 9.090
_cell_length_c 9.090
_cell_angle_alpha 110.59
_cell_angle_beta 110.59
_cell_angle_gamma 110.59
loop_
_atom_site_label
_atom_site_fract_x
_atom_site_fract_y
_atom_site_fract_z
_atom_site_occupancy
Nd1 0.277 0.921 0.820 1
Ga1 0.345 0.080 0.586 1
Nd2 0.366 0.494 0.186 1
Nd3 0.814 0.634 0.506 1
Nd4 0.079 0.180 0.723 1
Er1 0.000 0.000 0.000 1
Ga2 0.586 0.345 0.080 1
Nd5 0.723 0.079 0.180 1
Ga3 0.080 0.586 0.345 1
Nd6 0.180 0.723 0.079 1
Nd7 0.820 0.277 0.921 1
Ga4 0.920 0.414 0.655 1
Nd8 0.186 0.366 0.494 1
Ga5 0.414 0.655 0.920 1
Nd9 0.921 0.820 0.277 1
Nd10 0.634 0.506 0.814 1
Ga6 0.655 0.920 0.414 1
Nd11 0.494 0.186 0.366 1
Nd12 0.506 0.814 0.634 1
# Calculated formation energy in meV/atom: -213
# Total magnetization in μB/f.u.: 0.0
# Space-group type: R-3, No. 148

Entry 20:
# NdErGa4, relaxed, DFT GGA-PBE
data_NdErGa4
_space_group_name_H-M_alt 'P 1'
_space_group_IT_number 1
_space_group_name_Hall 'P 1'
_cell_length_a 4.206
_cell_length_b 4.206
_cell_length_c 7.960
_cell_angle_alpha 105.32
_cell_angle_beta 105.32
_cell_angle_gamma 90.00
loop_
_atom_site_label
_atom_site_fract_x
_atom_site_fract_y
_atom_site_fract_z
_atom_site_occupancy
Nd1 0.250 0.750 0.500 1
Ga1 0.666 0.166 0.332 1
Er1 0.000 0.000 0.000 1
Ga2 0.418 0.418 0.836 1
Ga3 0.582 0.582 0.164 1
Ga4 0.834 0.334 0.668 1
# Calculated formation energy in meV/atom: -637
# Total magnetization in μB/f.u.: 0.0
# Space-group type: I-4m2, No. 119